# MnRe3I

A relaxed MnRe3I crystal (GGA-PBEsol, Alexandria).

Output
raw formation energy = 2981.0 meV/atom
DOS at the Fermi energy = 0.661 states/eV/atom
raw total energy = -7.324 eV per atom
spin magnetization = 2.82 μB/cell

The structure in CIF format:
```
data_MnRe3I
_cell_length_a 4.743
_cell_length_b 4.743
_cell_length_c 4.743
_cell_angle_alpha 90.00
_cell_angle_beta 90.00
_cell_angle_gamma 90.00
_space_group_name_H-M_alt 'P m -3 m'
_space_group_IT_number 221
_space_group_name_Hall '-P 4 2 3'
loop_
_atom_site_label
_atom_site_type_symbol
_atom_site_fract_x
_atom_site_fract_y
_atom_site_fract_z
Mn1 Mn 0.000 0.000 0.000
Re1 Re 0.000 0.500 0.500
I1 I 0.500 0.500 0.500
```

---

# ScMnRe2I

A relaxed ScMnRe2I crystal (GGA-PBEsol, Alexandria).

Output
raw formation energy = 1927.4 meV/atom
DOS at the Fermi energy = 1.118 states/eV/atom
raw total energy = -7.032 eV per atom
spin magnetization = 2.61 μB/cell

The structure in CIF format:
```
data_ScMnRe2I
_cell_length_a 4.804
_cell_length_b 4.804
_cell_length_c 4.539
_cell_angle_alpha 90.00
_cell_angle_beta 90.00
_cell_angle_gamma 90.00
_space_group_name_H-M_alt 'P 4/m m m'
_space_group_IT_number 123
_space_group_name_Hall '-P 4 2'
loop_
_atom_site_label
_atom_site_type_symbol
_atom_site_fract_x
_atom_site_fract_y
_atom_site_fract_z
Sc1 Sc 0.000 0.000 0.000
Mn1 Mn 0.500 0.500 0.000
Re1 Re 0.000 0.500 0.500
I1 I 0.500 0.500 0.500
```

---

# MnRu3I

A relaxed MnRu3I crystal (GGA-PBEsol, Alexandria).

Output
raw formation energy = 1481.4 meV/atom
DOS at the Fermi energy = 1.533 states/eV/atom
raw total energy = -6.928 eV per atom
spin magnetization = 0.00 μB/cell

The structure in CIF format:
```
data_MnRu3I
_cell_length_a 4.417
_cell_length_b 4.417
_cell_length_c 4.417
_cell_angle_alpha 90.00
_cell_angle_beta 90.00
_cell_angle_gamma 90.00
_space_group_name_H-M_alt 'P m -3 m'
_space_group_IT_number 221
_space_group_name_Hall '-P 4 2 3'
loop_
_atom_site_label
_atom_site_type_symbol
_atom_site_fract_x
_atom_site_fract_y
_atom_site_fract_z
Mn1 Mn 0.000 0.000 0.000
Ru1 Ru 0.000 0.000 0.500
I1 I 0.500 0.500 0.500
```

---

# Mn2RuWI

A relaxed Mn2RuWI crystal (GGA-PBEsol, Alexandria).

Output
raw formation energy = 1477.4 meV/atom
DOS at the Fermi energy = 0.827 states/eV/atom
raw total energy = -7.576 eV per atom
spin magnetization = 7.41 μB/cell

The structure in CIF format:
```
data_Mn2RuWI
_cell_length_a 4.844
_cell_length_b 4.844
_cell_length_c 4.627
_cell_angle_alpha 90.00
_cell_angle_beta 90.00
_cell_angle_gamma 90.00
_space_group_name_H-M_alt 'P 4/m m m'
_space_group_IT_number 123
_space_group_name_Hall '-P 4 2'
loop_
_atom_site_label
_atom_site_type_symbol
_atom_site_fract_x
_atom_site_fract_y
_atom_site_fract_z
Mn1 Mn 0.000 0.500 0.000
Ru1 Ru 0.000 0.000 0.000
W1 W 0.000 0.000 0.500
I1 I 0.500 0.500 0.500
```

---

# MnRu2WI

A relaxed MnRu2WI crystal (GGA-PBEsol, Alexandria).

Output
raw formation energy = 1673.4 meV/atom
DOS at the Fermi energy = 1.179 states/eV/atom
raw total energy = -7.463 eV per atom
spin magnetization = 3.74 μB/cell

The structure in CIF format:
```
data_MnRu2WI
_cell_length_a 4.683
_cell_length_b 4.683
_cell_length_c 4.678
_cell_angle_alpha 90.00
_cell_angle_beta 90.00
_cell_angle_gamma 90.00
_space_group_name_H-M_alt 'P 4/m m m'
_space_group_IT_number 123
_space_group_name_Hall '-P 4 2'
loop_
_atom_site_label
_atom_site_type_symbol
_atom_site_fract_x
_atom_site_fract_y
_atom_site_fract_z
Mn1 Mn 0.000 0.000 0.000
Ru1 Ru 0.000 0.500 0.500
W1 W 0.000 0.000 0.500
I1 I 0.500 0.500 0.000
```

---

# Mn3SI

A relaxed Mn3SI crystal (GGA-PBEsol, Alexandria).

Output
raw formation energy = 1485.5 meV/atom
DOS at the Fermi energy = 0.674 states/eV/atom
raw total energy = -5.601 eV per atom
spin magnetization = 12.00 μB/cell

The structure in CIF format:
```
data_Mn3SI
_cell_length_a 4.887
_cell_length_b 4.887
_cell_length_c 4.887
_cell_angle_alpha 90.00
_cell_angle_beta 90.00
_cell_angle_gamma 90.00
_space_group_name_H-M_alt 'P m -3 m'
_space_group_IT_number 221
_space_group_name_Hall '-P 4 2 3'
loop_
_atom_site_label
_atom_site_type_symbol
_atom_site_fract_x
_atom_site_fract_y
_atom_site_fract_z
Mn1 Mn 0.000 0.000 0.500
S1 S 0.500 0.500 0.500
I1 I 0.000 0.000 0.000
```

---

# MnS2I

A relaxed MnS2I crystal (GGA-PBEsol, Alexandria).

Output
raw formation energy = -50.2 meV/atom
DOS at the Fermi energy = 0.606 states/eV/atom
raw total energy = -5.124 eV per atom
spin magnetization = 0.00 μB/cell

The structure in CIF format:
```
data_MnS2I
_cell_length_a 6.285
_cell_length_b 6.285
_cell_length_c 9.118
_cell_angle_alpha 90.00
_cell_angle_beta 90.00
_cell_angle_gamma 90.00
_space_group_name_H-M_alt 'I -4 2 d'
_space_group_IT_number 122
_space_group_name_Hall 'I -4 2bw'
loop_
_atom_site_label
_atom_site_type_symbol
_atom_site_fract_x
_atom_site_fract_y
_atom_site_fract_z
Mn1 Mn 0.000 0.000 0.000
S1 S 0.112 0.750 0.125
I1 I 0.000 0.000 0.500
```

---

# MnSbSI2

A relaxed MnSbSI2 crystal (GGA-PBEsol, Alexandria).

Output
raw formation energy = 786.2 meV/atom
DOS at the Fermi energy = 0.934 states/eV/atom
raw total energy = -3.661 eV per atom
spin magnetization = 4.82 μB/cell

The structure in CIF format:
```
data_MnSbSI2
_cell_length_a 5.250
_cell_length_b 5.250
_cell_length_c 5.420
_cell_angle_alpha 90.00
_cell_angle_beta 90.00
_cell_angle_gamma 90.00
_space_group_name_H-M_alt 'P 4/m m m'
_space_group_IT_number 123
_space_group_name_Hall '-P 4 2'
loop_
_atom_site_label
_atom_site_type_symbol
_atom_site_fract_x
_atom_site_fract_y
_atom_site_fract_z
Mn1 Mn 0.000 0.000 0.000
Sb1 Sb 0.500 0.500 0.000
S1 S 0.500 0.500 0.500
I1 I 0.000 0.500 0.500
```

---

Which value of DOS at the Fermi energy does entry 8 give? 0.934 states/eV/atom

---

Which value of raw total energy does entry 4 give? -7.576 eV per atom

---

What did the fifth record say?
# MnRu2WI

A relaxed MnRu2WI crystal (GGA-PBEsol, Alexandria).

Output
raw formation energy = 1673.4 meV/atom
DOS at the Fermi energy = 1.179 states/eV/atom
raw total energy = -7.463 eV per atom
spin magnetization = 3.74 μB/cell

The structure in CIF format:
```
data_MnRu2WI
_cell_length_a 4.683
_cell_length_b 4.683
_cell_length_c 4.678
_cell_angle_alpha 90.00
_cell_angle_beta 90.00
_cell_angle_gamma 90.00
_space_group_name_H-M_alt 'P 4/m m m'
_space_group_IT_number 123
_space_group_name_Hall '-P 4 2'
loop_
_atom_site_label
_atom_site_type_symbol
_atom_site_fract_x
_atom_site_fract_y
_atom_site_fract_z
Mn1 Mn 0.000 0.000 0.000
Ru1 Ru 0.000 0.500 0.500
W1 W 0.000 0.000 0.500
I1 I 0.500 0.500 0.000
```